[1]
Computed, not measured: crystalline CsLi2VB at its relaxed geometry at the GGA-PBE level of DFT.

a b c (Å): 5.1525 5.1525 5.3959
angles (deg): 90.00 90.00 90.00
Fractional coordinates of all 5 atoms:
Cs1 0.0000 0.0000 0.0000
Li1 0.0000 0.5000 0.5000
Li2 0.5000 0.0000 0.5000
V1 0.0000 0.0000 0.5000
B1 0.5000 0.5000 0.0000

Results
D(E_F): 4.068 states/eV/f.u.
volume: 28.65 A^3/atom
energy of formation: 1924 meV/atom
total magnetic moment: 5.48 μB/cell


[2]
Computed, not measured: crystalline HfScCoAu at its relaxed geometry at the GGA-PBE level of DFT.

a b c (Å): 4.6441 4.6441 4.6441
angles (deg): 60.00 60.00 60.00
Fractional coordinates of all 4 atoms:
Hf1 0.0000 0.0000 0.0000
Sc1 0.5000 0.5000 0.5000
Co1 0.7500 0.7500 0.7500
Au1 0.2500 0.2500 0.2500

Results
D(E_F): 3.421 states/eV/f.u.
volume: 17.71 A^3/atom
energy of formation: -410 meV/atom
total magnetic moment: 0.03 μB/cell


[3]
Computed, not measured: crystalline BaNaYO2 at its relaxed geometry at the GGA-PBE level of DFT.

a b c (Å): 4.5306 4.5306 6.7125
angles (deg): 90.00 90.00 90.00
Fractional coordinates of all 5 atoms:
Ba1 0.0000 0.0000 0.0000
Na1 0.5000 0.5000 0.0000
Y1 0.0000 0.0000 0.5000
O1 0.0000 0.5000 0.5000
O2 0.5000 0.0000 0.5000

Results
D(E_F): 4.102 states/eV/f.u.
formation energy from raw total energies: -0.837 eV/atom
volume: 27.56 A^3/atom
total magnetic moment: 0.08 μB/cell


[4]
Computed, not measured: crystalline TlSn2O at its relaxed geometry at the GGA-PBE level of DFT.

a b c (Å): 7.9926 7.9926 7.9926
angles (deg): 138.85 138.85 59.60
Fractional coordinates of all 8 atoms:
Tl1 0.0000 0.0000 0.0000
Tl2 0.7500 0.2500 0.5000
Sn1 0.2615 0.6250 0.1365
Sn2 0.3750 0.5115 0.6365
Sn3 0.4885 0.1250 0.8635
Sn4 0.8750 0.7385 0.3635
O1 0.2500 0.7500 0.5000
O2 0.5000 0.5000 0.0000

Results
D(E_F): 1.308 states/eV/f.u.
formation energy from raw total energies: -0.285 eV/atom
volume: 27.35 A^3/atom
total magnetic moment: 0.00 μB/cell
energy relative to the lowest polymorph listed for this composition: 0.000 eV per atom


[5]
Computed, not measured: crystalline BaZnIn3 at its relaxed geometry at the GGA-PBE level of DFT.

a b c (Å): 6.9342 6.9342 6.9342
angles (deg): 139.12 139.12 59.20
Fractional coordinates of all 5 atoms:
Ba1 0.0000 0.0000 0.0000
Zn1 0.6150 0.6150 0.0000
In1 0.2390 0.7390 0.5000
In2 0.3905 0.3905 0.0000
In3 0.7390 0.2390 0.5000

Results
D(E_F): 1.832 states/eV/f.u.
volume: 28.29 A^3/atom
energy of formation: -351 meV/atom
total magnetic moment: 0.00 μB/cell


[6]
Computed, not measured: crystalline Hf6SbPb2 at its relaxed geometry at the GGA-PBE level of DFT.

a b c (Å): 8.7306 9.1517 5.0587
angles (deg): 90.00 90.00 90.00
Fractional coordinates of all 18 atoms:
Hf1 0.0044 0.1633 0.0000
Hf2 0.1588 0.5876 0.5000
Hf3 0.1676 0.9242 0.5000
Hf4 0.3324 0.4242 0.0000
Hf5 0.3412 0.0876 0.0000
Hf6 0.4956 0.6633 0.5000
Hf7 0.5044 0.3367 0.5000
Hf8 0.6588 0.9124 0.0000
Hf9 0.6676 0.5758 0.0000
Hf10 0.8324 0.0758 0.5000
Hf11 0.8412 0.4124 0.5000
Hf12 0.9956 0.8367 0.0000
Sb1 0.0000 0.5000 0.0000
Sb2 0.5000 0.0000 0.5000
Pb1 0.1707 0.2539 0.5000
Pb2 0.3293 0.7539 0.0000
Pb3 0.6707 0.2461 0.0000
Pb4 0.8293 0.7461 0.5000

Results
D(E_F): 7.107 states/eV/f.u.
formation energy from raw total energies: -0.116 eV/atom
volume: 22.46 A^3/atom
total magnetic moment: 0.00 μB/cell


[7]
Computed, not measured: crystalline MgZrTi2 at its relaxed geometry at the GGA-PBE level of DFT.

a b c (Å): 2.9663 2.9663 9.0818
angles (deg): 90.00 90.00 90.00
Fractional coordinates of all 4 atoms:
Mg1 0.0000 0.0000 0.0000
Zr1 0.5000 0.5000 0.7146
Ti1 0.0000 0.0000 0.4750
Ti2 0.5000 0.5000 0.2651

Results
D(E_F): 3.213 states/eV/f.u.
volume: 19.98 A^3/atom
energy of formation: 30 meV/atom
total magnetic moment: 0.00 μB/cell


[8]
Computed, not measured: crystalline Ti7Pb2S2 at its relaxed geometry at the GGA-PBE level of DFT.

a b c (Å): 6.3192 6.3192 5.7550
angles (deg): 96.13 96.13 68.22
Fractional coordinates of all 11 atoms:
Ti1 0.0000 0.0000 0.0000
Ti2 0.0858 0.4920 0.7602
Ti3 0.4459 0.4459 0.1802
Ti4 0.4920 0.0858 0.7602
Ti5 0.5080 0.9142 0.2398
Ti6 0.5541 0.5541 0.8198
Ti7 0.9142 0.5080 0.2398
Pb1 0.2050 0.7950 0.5000
Pb2 0.7950 0.2050 0.5000
S1 0.2237 0.2237 0.0570
S2 0.7763 0.7763 0.9430

Results
D(E_F): 11.809 states/eV/f.u.
formation energy from raw total energies: -0.317 eV/atom
volume: 19.24 A^3/atom
total magnetic moment: 0.02 μB/cell